No. 1
Below is NbAlPCl2 after structural relaxation, with properties calculated at the PBE-GGA level.

Values from the calculation:
Mass density, Mg/m³: 3.59
Total magnetization, μB per cell: 2.9
Formation energy from raw total energies, eV per atom: 0.214
ΔE to the lowest computed polymorph, meV per atom: 384
Calculated total energy, eV for the cell shown: -21.8

a = 4.5109 Å, b = 4.5109 Å, c = 5.0456 Å
α = 90.00°, β = 90.00°, γ = 90.00°
Space group P4/mmm (No. 123)
Asymmetric unit:
1 Nb 0.0000 0.0000 0.0000 (multiplicity 1)
2 Al 0.5000 0.5000 0.5000 (multiplicity 1)
3 P 0.5000 0.5000 0.0000 (multiplicity 1)
4 Cl 0.0000 0.5000 0.5000 (multiplicity 2)

No. 2
Below is TbAl3NiPt after structural relaxation, with properties calculated at the PBE-GGA level.

Values from the calculation:
Mass density, Mg/m³: 7.69
Total magnetization, μB per cell: 0.0
E_form, meV per atom: -643
Calculated total energy, eV for the cell shown: -126.2

a = 6.2032 Å, b = 11.9849 Å, c = 5.7370 Å
α = 90.00°, β = 90.00°, γ = 90.00°
Space group Cmcm (No. 63)
Asymmetric unit:
1 Tb 0.0000 0.2291 0.2500 (multiplicity 4)
2 Al 0.0000 0.3556 0.7500 (multiplicity 4)
3 Al 0.2109 0.0000 0.0000 (multiplicity 8)
4 Ni 0.0000 0.4448 0.2500 (multiplicity 4)
5 Pt 0.0000 0.1465 0.7500 (multiplicity 4)

No. 3
Below is LaTb2HoTm2 after structural relaxation, with properties calculated at the PBE-GGA level.

Values from the calculation:
Mass density, Mg/m³: 8.13
Total magnetization, μB per cell: 0.0
E_form, meV per atom: 169
Calculated total energy, eV for the cell shown: -53.4

a = 6.9235 Å, b = 16.0585 Å, c = 3.5273 Å
α = 90.00°, β = 90.00°, γ = 90.00°
Space group Pnnm (No. 58)
Asymmetric unit:
1 La 0.0000 0.0000 0.0000 (multiplicity 2)
2 Tb 0.2482 0.3402 0.0000 (multiplicity 4)
3 Ho 0.0000 0.5000 0.5000 (multiplicity 2)
4 Tm 0.2503 0.1552 0.5000 (multiplicity 4)

No. 4
Below is Na4Np3SbS8 after structural relaxation, with properties calculated at the PBE-GGA level.

Values from the calculation:
Mass density, Mg/m³: 5.24
Total magnetization, μB per cell: 36.0
Formation energy from raw total energies, eV per atom: -1.170
Calculated total energy, eV for the cell shown: -299.9

a = 8.0579 Å, b = 8.0579 Å, c = 19.9542 Å
α = 90.00°, β = 90.00°, γ = 120.00°
Space group R-3m (No. 166, hexagonal axes)
Asymmetric unit:
1 Na 0.0000 0.0000 0.0000 (multiplicity 3)
2 Na 0.0000 0.5000 0.0000 (multiplicity 9)
3 Np 0.0000 0.5000 0.5000 (multiplicity 9)
4 Sb 0.0000 0.0000 0.5000 (multiplicity 3)
5 S 0.0000 0.0000 0.2417 (multiplicity 6)
6 S 0.0015 0.5008 0.7572 (multiplicity 18)

No. 5
Below is KMgCd after structural relaxation, with properties calculated at the PBE-GGA level.

Values from the calculation:
Mass density, Mg/m³: 2.90
Total magnetization, μB per cell: 0.0
ΔE to the lowest computed polymorph, meV per atom: 94
E_form, meV per atom: 71
Calculated total energy, eV for the cell shown: -3.4

a = 5.3993 Å, b = 5.3993 Å, c = 3.9886 Å
α = 90.00°, β = 90.00°, γ = 120.00°
Space group P3m1 (No. 156)
Asymmetric unit:
1 K 0.0000 0.0000 0.0000 (multiplicity 1)
2 Mg 0.6667 0.3333 0.4974 (multiplicity 1)
3 Cd 0.3333 0.6667 0.5009 (multiplicity 1)

No. 6
Below is CoBi3Os after structural relaxation, with properties calculated at the PBE-GGA level.

Values from the calculation:
Mass density, Mg/m³: 11.92
Total magnetization, μB per cell: 0.7
ΔE to the lowest computed polymorph, meV per atom: 0
E_form, meV per atom: 1164
Calculated total energy, eV for the cell shown: -24.2

a = 4.9606 Å, b = 4.9606 Å, c = 4.9606 Å
α = 90.00°, β = 90.00°, γ = 90.00°
Space group Pm-3m (No. 221)
Asymmetric unit:
1 Co 0.0000 0.0000 0.0000 (multiplicity 1)
2 Bi 0.0000 0.0000 0.5000 (multiplicity 3)
3 Os 0.5000 0.5000 0.5000 (multiplicity 1)

No. 7
Below is LaMo after structural relaxation, with properties calculated at the PBE-GGA level.

Values from the calculation:
Mass density, Mg/m³: 8.37
Total magnetization, μB per cell: 0.0
ΔE to the lowest computed polymorph, meV per atom: 229
E_form, meV per atom: 470
Calculated total energy, eV for the cell shown: -29.6

a = 3.4542 Å, b = 4.3521 Å, c = 6.1950 Å
α = 90.00°, β = 90.00°, γ = 90.00°
Space group Pmmn (No. 59, origin choice 2)
Asymmetric unit:
1 La 0.2500 0.2500 0.1684 (multiplicity 2)
2 Mo 0.2500 0.2500 0.5694 (multiplicity 2)

No. 8
Below is ZrHgC3 after structural relaxation, with properties calculated at the PBE-GGA level.

Values from the calculation:
Mass density, Mg/m³: 7.42
Total magnetization, μB per cell: 0.0
ΔE to the lowest computed polymorph, meV per atom: 531
E_form, meV per atom: 2751
Calculated total energy, eV for the cell shown: -22.8

a = 4.1859 Å, b = 4.1859 Å, c = 4.1859 Å
α = 90.00°, β = 90.00°, γ = 90.00°
Space group Pm-3m (No. 221)
Asymmetric unit:
1 Zr 0.0000 0.0000 0.0000 (multiplicity 1)
2 Hg 0.5000 0.5000 0.5000 (multiplicity 1)
3 C 0.0000 0.5000 0.5000 (multiplicity 3)

No. 9
Below is N after structural relaxation, with properties calculated at the PBE-GGA level.

Values from the calculation:
Mass density, Mg/m³: 3.19
Total magnetization, μB per cell: 0.0
Formation energy from raw total energies, eV per atom: 4.255
ΔE to the lowest computed polymorph, meV per atom: 4255
Calculated total energy, eV for the cell shown: -8.1

a = 2.4430 Å, b = 2.4430 Å, c = 2.4430 Å
α = 90.00°, β = 90.00°, γ = 90.00°
Space group Im-3m (No. 229)
Asymmetric unit:
1 N 0.0000 0.0000 0.0000 (multiplicity 2)

No. 10
Below is AcCe3Sb3 after structural relaxation, with properties calculated at the PBE-GGA level.

Values from the calculation:
Mass density, Mg/m³: 7.60
Total magnetization, μB per cell: 7.9
Formation energy from raw total energies, eV per atom: -0.692
Calculated total energy, eV for the cell shown: -78.2

a = 9.4107 Å, b = 9.4107 Å, c = 5.7678 Å
α = 90.00°, β = 90.00°, γ = 120.00°
Space group P6_3/m (No. 176)
Asymmetric unit:
1 Ac 0.3333 0.6667 0.2500 (multiplicity 2)
2 Ce 0.0144 0.2480 0.2500 (multiplicity 6)
3 Sb 0.0636 0.4293 0.7500 (multiplicity 6)

No. 11
Below is Tl2AsBr2Cl4 after structural relaxation, with properties calculated at the PBE-GGA level.

Values from the calculation:
Mass density, Mg/m³: 4.91
Total magnetization, μB per cell: 0.0
Formation energy from raw total energies, eV per atom: -0.690
Calculated total energy, eV for the cell shown: -52.6

a = 7.2184 Å, b = 7.2184 Å, c = 10.1918 Å
α = 90.00°, β = 90.00°, γ = 90.00°
Space group I4/mmm (No. 139)
Asymmetric unit:
1 Tl 0.0000 0.5000 0.2500 (multiplicity 4)
2 As 0.0000 0.0000 0.0000 (multiplicity 2)
3 Br 0.0000 0.0000 0.2520 (multiplicity 4)
4 Cl 0.2359 0.2359 0.0000 (multiplicity 8)

No. 12
Below is HoErMnCo after structural relaxation, with properties calculated at the PBE-GGA level.

Values from the calculation:
Mass density, Mg/m³: 9.20
Total magnetization, μB per cell: 16.6
E_form, meV per atom: 41
Calculated total energy, eV for the cell shown: -101.0

a = 6.8541 Å, b = 6.8541 Å, c = 6.8541 Å
α = 90.00°, β = 90.00°, γ = 90.00°
Space group F-43m (No. 216)
Asymmetric unit:
1 Ho 0.0000 0.0000 0.0000 (multiplicity 4)
2 Er 0.0000 0.0000 0.5000 (multiplicity 4)
3 Mn 0.2500 0.2500 0.2500 (multiplicity 4)
4 Co 0.2500 0.2500 0.7500 (multiplicity 4)

No. 13
Below is Ta2CuOs after structural relaxation, with properties calculated at the PBE-GGA level.

Values from the calculation:
Mass density, Mg/m³: 15.97
Total magnetization, μB per cell: 0.0
E_form, meV per atom: 183
Calculated total energy, eV for the cell shown: -114.9

a = 2.8409 Å, b = 2.8409 Å, c = 27.4836 Å
α = 90.00°, β = 90.00°, γ = 120.00°
Space group R-3m (No. 166, hexagonal axes)
Asymmetric unit:
1 Ta 0.0000 0.0000 0.2502 (multiplicity 6)
2 Cu 0.0000 0.0000 0.0000 (multiplicity 3)
3 Os 0.0000 0.0000 0.5000 (multiplicity 3)

No. 14
Below is Nd3Sn2Hg after structural relaxation, with properties calculated at the PBE-GGA level.

Values from the calculation:
Mass density, Mg/m³: 8.35
Total magnetization, μB per cell: 0.0
ΔE to the lowest computed polymorph, meV per atom: 50
E_form, meV per atom: -573
Calculated total energy, eV for the cell shown: -104.2

a = 16.8689 Å, b = 6.5223 Å, c = 6.4603 Å
α = 90.00°, β = 102.97°, γ = 90.00°
Space group C2/c (No. 15)
Asymmetric unit:
1 Nd 0.0000 0.1496 0.2500 (multiplicity 4)
2 Nd 0.1724 0.3909 0.6042 (multiplicity 8)
3 Sn 0.1581 0.1031 0.0491 (multiplicity 8)
4 Hg 0.0000 0.3643 0.7500 (multiplicity 4)

No. 15
Below is Dy2PuRhO8 after structural relaxation, with properties calculated at the PBE-GGA level.

Values from the calculation:
Mass density, Mg/m³: 7.91
Total magnetization, μB per cell: 5.6
Formation energy from raw total energies, eV per atom: -2.424
Calculated total energy, eV for the cell shown: -199.3

a = 6.9851 Å, b = 7.2178 Å, c = 6.6651 Å
α = 90.00°, β = 90.00°, γ = 90.00°
Space group Cmmm (No. 65)
Asymmetric unit:
1 Dy 0.0000 0.0000 0.2413 (multiplicity 4)
2 Pu 0.0000 0.5000 0.5000 (multiplicity 2)
3 Rh 0.0000 0.5000 0.0000 (multiplicity 2)
4 O 0.0000 0.3213 0.2482 (multiplicity 8)
5 O 0.2070 0.0000 0.5000 (multiplicity 4)
6 O 0.2170 0.0000 0.0000 (multiplicity 4)